Pm2Nd4ErTm | PBE-GGA | optimized geometry

a b c (Å): 5.1338 5.1589 10.1793
angles (deg): 90.00 90.07 90.00
Last column: nearest neighbours and their distance in Å.
Fractional positions:
Pm 0.0000 0.0000 0.0000  8 Nd 3.61-3.62, 4 Tm 3.64
Pm 0.5000 0.5000 0.5000  8 Nd 3.62, 4 Er 3.64
Nd 0.9999 0.5000 0.2492  2 Tm 3.61, 4 Pm 3.62, 2 Er 3.63, 4 Nd 3.64
Nd 0.0001 0.5000 0.7508  2 Tm 3.61, 4 Pm 3.62, 2 Er 3.63, 4 Nd 3.64
Nd 0.5001 0.0000 0.2502  2 Er 3.61-3.62, 4 Pm 3.61-3.62, 2 Tm 3.63, 4 Nd 3.64
Nd 0.4999 0.0000 0.7498  2 Er 3.61-3.62, 4 Pm 3.61-3.62, 2 Tm 3.63, 4 Nd 3.64
Er 0.0000 0.0000 0.5000  8 Nd 3.61-3.63, 4 Pm 3.64
Tm 0.5000 0.5000 0.0000  8 Nd 3.61-3.63, 4 Pm 3.64

Output
N(E_F) = 1.386 states/eV/atom
Symmetry = P2/m (10)
Formation energy from the elements = 0.120 eV/f.u.
Total energy = -37.487 eV/cell